(1)
The following is a PBE calculation of a geometry-optimized BaAlSe2 structure, from the Alexandria database.

Summary:
volume: 27.5 A^3/atom
electronic total energy: -0.1296 Ha/atom
total moment: 0.00 μB/cell
ΔE_f (raw): -1.48 eV per formula unit
SG: F-43m (216)

a = 5.378 Å, b = 5.378 Å, c = 5.378 Å
α = 60.00°, β = 60.00°, γ = 60.00°
Fractional coordinates of all 4 atoms:
Ba: 0.000 0.000 0.000
Al: 0.250 0.250 0.250
Se: 0.500 0.500 0.500
Se: 0.750 0.750 0.750


(2)
The following is a PBE calculation of a geometry-optimized BaAlSe2 structure, from the Alexandria database.

Summary:
volume: 28.9 A^3/atom
electronic total energy: -0.1410 Ha/atom
total moment: 0.00 μB/cell
ΔE_f (raw): -2.71 eV per formula unit
SG: I-4m2 (119)

a = 6.776 Å, b = 6.776 Å, c = 6.776 Å
α = 142.33°, β = 142.33°, γ = 54.34°
Fractional coordinates of all 4 atoms:
Ba: 0.000 0.000 0.000
Al: 0.750 0.250 0.500
Se: 0.250 0.750 0.500
Se: 0.500 0.500 0.000


(3)
The following is a PBE calculation of a geometry-optimized BaAl2Se structure, from the Alexandria database.

Summary:
volume: 26.9 A^3/atom
electronic total energy: -0.1256 Ha/atom
total moment: 0.00 μB/cell
ΔE_f (raw): -0.78 eV per formula unit
SG: Pmmm (47)

a = 3.836 Å, b = 3.854 Å, c = 7.272 Å
α = 90.00°, β = 90.00°, γ = 90.00°
Fractional coordinates of all 4 atoms:
Ba: 0.000 0.000 0.000
Al: 0.500 0.500 0.325
Al: 0.500 0.500 0.675
Se: 0.000 0.000 0.500


- What is the formula in the second record?
  BaAlSe2